## A
The following is a PBE calculation of a geometry-optimized BaNbZn3 structure, from the Alexandria database.

a b c (Å): 5.1527 5.1527 5.1527
angles (deg): 90.00 90.00 90.00
Positions (direct):
Ba 0.0000 0.0000 0.0000
Nb 0.5000 0.5000 0.5000
Zn 0.0000 0.5000 0.5000
Zn 0.5000 0.0000 0.5000
Zn 0.5000 0.5000 0.0000

## Properties
crystal system = cubic
mass density = 5.176 g cm⁻³
M_tot = 0.00 μB per cell

## B
The following is a PBE calculation of a geometry-optimized BaNbZn3 structure, from the Alexandria database.

a b c (Å): 5.4221 5.4221 5.4221
angles (deg): 90.00 90.00 90.00
Positions (direct):
Ba 0.0000 0.0000 0.0000
Nb 0.5000 0.5000 0.5000
Zn 0.0000 0.0000 0.5000
Zn 0.0000 0.5000 0.0000
Zn 0.5000 0.0000 0.0000

## Properties
crystal system = cubic
mass density = 4.442 g cm⁻³
M_tot = 0.00 μB per cell

Most stable structure - A; separation to the second - 1498 meV per atom.